The following is a PBE calculation of an optimized crystal structure of PrGa2Cu6, from Alexandria.

a b c (Å): 6.9981 6.9981 6.9981
angles (deg): 147.43 125.30 65.13
Last column: nearest neighbours and their distance in Å.
Fractional positions:
Pr1 0.0000 0.0000 0.0000  4 Cu 2.86
Ga1 0.3730 0.8730 0.5000  6 Cu 2.50-2.72
Ga2 0.6270 0.1270 0.5000  6 Cu 2.50-2.72
Cu1 0.0102 0.3080 0.7022  4 Cu 2.39-2.60, 1 Ga 2.50
Cu2 0.3231 0.5000 0.8231  3 Cu 2.28-2.39
Cu3 0.3942 0.6920 0.7022  4 Cu 2.39-2.60, 1 Ga 2.50
Cu4 0.6058 0.3080 0.2978  4 Cu 2.39-2.60, 1 Ga 2.50
Cu5 0.6769 0.5000 0.1769  3 Cu 2.28-2.39
Cu6 0.9898 0.6920 0.2978  4 Cu 2.39-2.60, 1 Ga 2.50

Computed properties:
Calculated total energy in eV per atom: -3.950


The following is a PBE calculation of an optimized crystal structure of Pr3Ga6Cu5, from Alexandria.

a b c (Å): 4.3823 13.6927 8.7083
angles (deg): 90.00 90.00 90.00
Last column: nearest neighbours and their distance in Å.
Fractional positions:
Pr1 0.2500 0.0329 0.2280  7 Ga 3.08-3.21, 6 Cu 3.17-3.39
Pr2 0.2500 0.4671 0.2280  7 Ga 3.08-3.21, 6 Cu 3.17-3.39
Pr3 0.2500 0.7500 0.2912  8 Ga 3.08-3.23, 6 Cu 3.12-3.18
Pr4 0.7500 0.2500 0.7088  8 Ga 3.08-3.23, 6 Cu 3.12-3.18
Pr5 0.7500 0.5329 0.7720  7 Ga 3.08-3.21, 6 Cu 3.17-3.39
Pr6 0.7500 0.9671 0.7720  7 Ga 3.08-3.21, 6 Cu 3.17-3.39
Ga1 0.2500 0.1186 0.8876  3 Cu 2.49-2.55, 1 Ga 2.63
Ga2 0.2500 0.2500 0.1079  3 Ga 2.63-2.87, 6 Cu 2.67-2.68
Ga3 0.2500 0.2500 0.4375  4 Cu 2.57, 1 Ga 2.87
Ga4 0.2500 0.3814 0.8876  3 Cu 2.49-2.55, 1 Ga 2.63
Ga5 0.2500 0.5910 0.5410  4 Cu 2.53-2.66
Ga6 0.2500 0.9090 0.5410  4 Cu 2.53-2.66
Ga7 0.7500 0.0910 0.4590  4 Cu 2.53-2.66
Ga8 0.7500 0.4090 0.4590  4 Cu 2.53-2.66
Ga9 0.7500 0.6186 0.1124  3 Cu 2.49-2.55, 1 Ga 2.63
Ga10 0.7500 0.7500 0.5625  4 Cu 2.57, 1 Ga 2.87
Ga11 0.7500 0.7500 0.8921  3 Ga 2.63-2.87, 6 Cu 2.67-2.68
Ga12 0.7500 0.8814 0.1124  3 Cu 2.49-2.55, 1 Ga 2.63
Cu1 0.2500 0.0956 0.6046  5 Ga 2.49-2.61
Cu2 0.2500 0.4044 0.6046  5 Ga 2.49-2.61
Cu3 0.2500 0.6486 0.9705  4 Ga 2.55-2.68, 2 Cu 2.61-2.78
Cu4 0.2500 0.7500 0.7169  6 Ga 2.57-2.67, 2 Cu 2.61
Cu5 0.2500 0.8514 0.9705  4 Ga 2.55-2.68, 2 Cu 2.61-2.78
Cu6 0.7500 0.1486 0.0295  4 Ga 2.55-2.68, 2 Cu 2.61-2.78
Cu7 0.7500 0.2500 0.2831  6 Ga 2.57-2.67, 2 Cu 2.61
Cu8 0.7500 0.3514 0.0295  4 Ga 2.55-2.68, 2 Cu 2.61-2.78
Cu9 0.7500 0.5956 0.3954  5 Ga 2.49-2.61
Cu10 0.7500 0.9044 0.3954  5 Ga 2.49-2.61

Computed properties:
Calculated total energy in eV per atom: -4.190


The lowest calculated total energy belongs to which entry? Pr3Ga6Cu5


Number 2 is which compound? Pr3Ga6Cu5